DFT (PBE) results for a geometry-optimized NaHfTe2 structure.

Geometry as CIF:
```
data_NaHfTe2
_cell_length_a 7.3548
_cell_length_b 7.3548
_cell_length_c 7.3548
_cell_angle_alpha 90.00
_cell_angle_beta 90.00
_cell_angle_gamma 90.00
_space_group_name_H-M_alt 'F m -3 m'
_space_group_IT_number 225
_space_group_name_Hall '-F 4 2 3'
loop_
_atom_site_label
_atom_site_type_symbol
_atom_site_fract_x
_atom_site_fract_y
_atom_site_fract_z
Na1 Na 0.0000 0.0000 0.0000
Hf1 Hf 0.0000 0.0000 0.5000
Te1 Te 0.2500 0.2500 0.2500
```

Calculated values
Fermi-level density of states, states/eV/f.u.: 3.79
Formation energy (no corrections), eV per atom: -0.41
Calculated volume, Å³/f.u.: 99.5



DFT (PBE) results for a geometry-optimized Na4HfTh3Te8 structure.

Geometry as CIF:
```
data_Na4HfTh3Te8
_cell_length_a 8.6100
_cell_length_b 8.6100
_cell_length_c 23.6905
_cell_angle_alpha 90.00
_cell_angle_beta 90.00
_cell_angle_gamma 120.00
_space_group_name_H-M_alt 'R -3 m'
_space_group_IT_number 166
_space_group_name_Hall '-R 3 2"'
loop_
_atom_site_label
_atom_site_type_symbol
_atom_site_fract_x
_atom_site_fract_y
_atom_site_fract_z
Na1 Na 0.0000 0.0000 0.0000
Na2 Na 0.0000 0.5000 0.0000
Hf1 Hf 0.0000 0.0000 0.5000
Th1 Th 0.0000 0.5000 0.5000
Te1 Te 0.0000 0.0000 0.2501
Te2 Te 0.0196 0.5098 0.2451
```

Calculated values
Fermi-level density of states, states/eV/f.u.: 9.11
Formation energy (no corrections), eV per atom: -1.02
Calculated volume, Å³/f.u.: 507.0



DFT (PBE) results for a geometry-optimized Na2HfTiTe4 structure.

Geometry as CIF:
```
data_Na2HfTiTe4
_cell_length_a 7.0911
_cell_length_b 4.0776
_cell_length_c 8.0483
_cell_angle_alpha 90.00
_cell_angle_beta 106.93
_cell_angle_gamma 90.00
_space_group_name_H-M_alt 'P 1 2/m 1'
_space_group_IT_number 10
_space_group_name_Hall '-P 2y'
loop_
_atom_site_label
_atom_site_type_symbol
_atom_site_fract_x
_atom_site_fract_y
_atom_site_fract_z
Na1 Na 0.0000 0.0000 0.0000
Na2 Na 0.5000 0.5000 0.0000
Hf1 Hf 0.0000 0.5000 0.5000
Ti1 Ti 0.5000 0.0000 0.5000
Te1 Te 0.2438 0.0000 0.7191
Te2 Te 0.2652 0.5000 0.2838
```

Calculated values
Fermi-level density of states, states/eV/f.u.: 4.31
Formation energy (no corrections), eV per atom: -0.81
Calculated volume, Å³/f.u.: 222.6



DFT (PBE) results for a geometry-optimized Na3HfTi2Te6 structure.

Geometry as CIF:
```
data_Na3HfTi2Te6
_cell_length_a 7.0415
_cell_length_b 12.2625
_cell_length_c 8.0258
_cell_angle_alpha 90.00
_cell_angle_beta 107.07
_cell_angle_gamma 90.00
_space_group_name_H-M_alt 'C 1 2/m 1'
_space_group_IT_number 12
_space_group_name_Hall '-C 2y'
loop_
_atom_site_label
_atom_site_type_symbol
_atom_site_fract_x
_atom_site_fract_y
_atom_site_fract_z
Na1 Na 0.0000 0.0000 0.0000
Na2 Na 0.0000 0.3417 0.0000
Hf1 Hf 0.0000 0.5000 0.5000
Ti1 Ti 0.0000 0.1813 0.5000
Te1 Te 0.2251 0.0000 0.7051
Te2 Te 0.2456 0.3329 0.7215
```

Calculated values
Fermi-level density of states, states/eV/f.u.: 3.55
Formation energy (no corrections), eV per atom: -0.81
Calculated volume, Å³/f.u.: 331.2



DFT (PBE) results for a geometry-optimized Na4Hf3TiTe8 structure.

Geometry as CIF:
```
data_Na4Hf3TiTe8
_cell_length_a 8.1638
_cell_length_b 8.1638
_cell_length_c 23.2884
_cell_angle_alpha 90.00
_cell_angle_beta 90.00
_cell_angle_gamma 120.00
_space_group_name_H-M_alt 'R -3 m'
_space_group_IT_number 166
_space_group_name_Hall '-R 3 2"'
loop_
_atom_site_label
_atom_site_type_symbol
_atom_site_fract_x
_atom_site_fract_y
_atom_site_fract_z
Na1 Na 0.0000 0.0000 0.0000
Na2 Na 0.0000 0.5000 0.0000
Hf1 Hf 0.0000 0.5000 0.5000
Ti1 Ti 0.0000 0.0000 0.5000
Te1 Te 0.0000 0.0000 0.2408
Te2 Te 0.0038 0.5019 0.2398
```

Calculated values
Fermi-level density of states, states/eV/f.u.: 8.59
Formation energy (no corrections), eV per atom: -0.82
Calculated volume, Å³/f.u.: 448.1



DFT (PBE) results for a geometry-optimized Na3Tm3HfTe8 structure.

Geometry as CIF:
```
data_Na3Tm3HfTe8
_cell_length_a 8.6148
_cell_length_b 8.6148
_cell_length_c 23.0562
_cell_angle_alpha 90.00
_cell_angle_beta 90.00
_cell_angle_gamma 120.00
_space_group_name_H-M_alt 'R -3 m'
_space_group_IT_number 166
_space_group_name_Hall '-R 3 2"'
loop_
_atom_site_label
_atom_site_type_symbol
_atom_site_fract_x
_atom_site_fract_y
_atom_site_fract_z
Na1 Na 0.0000 0.5000 0.0000
Tm1 Tm 0.0000 0.5000 0.5000
Hf1 Hf 0.0000 0.0000 0.5000
Te1 Te 0.0000 0.0000 0.2433
Te2 Te 0.0117 0.5059 0.2406
```

Calculated values
Formation energy (no corrections), eV per atom: -1.19
Calculated volume, Å³/f.u.: 493.9



DFT (PBE) results for a geometry-optimized Na2Hf2UTe6 structure.

Geometry as CIF:
```
data_Na2Hf2UTe6
_cell_length_a 7.1851
_cell_length_b 12.5018
_cell_length_c 8.1419
_cell_angle_alpha 90.00
_cell_angle_beta 106.59
_cell_angle_gamma 90.00
_space_group_name_H-M_alt 'C 1 2/m 1'
_space_group_IT_number 12
_space_group_name_Hall '-C 2y'
loop_
_atom_site_label
_atom_site_type_symbol
_atom_site_fract_x
_atom_site_fract_y
_atom_site_fract_z
Na1 Na 0.0000 0.1588 0.0000
Hf1 Hf 0.0000 0.3320 0.5000
U1 U 0.0000 0.0000 0.5000
Te1 Te 0.2179 0.5000 0.7247
Te2 Te 0.2492 0.1742 0.7266
```

Calculated values
Fermi-level density of states, states/eV/f.u.: 8.40
Formation energy (no corrections), eV per atom: -0.80
Calculated volume, Å³/f.u.: 350.4



DFT (PBE) results for a geometry-optimized Na3Hf2UTe6 structure.

Geometry as CIF:
```
data_Na3Hf2UTe6
_cell_length_a 7.2499
_cell_length_b 12.5802
_cell_length_c 8.1227
_cell_angle_alpha 90.00
_cell_angle_beta 107.43
_cell_angle_gamma 90.00
_space_group_name_H-M_alt 'C 1 2/m 1'
_space_group_IT_number 12
_space_group_name_Hall '-C 2y'
loop_
_atom_site_label
_atom_site_type_symbol
_atom_site_fract_x
_atom_site_fract_y
_atom_site_fract_z
Na1 Na 0.0000 0.0000 0.0000
Na2 Na 0.0000 0.3415 0.0000
Hf1 Hf 0.0000 0.1693 0.5000
U1 U 0.0000 0.5000 0.5000
Te1 Te 0.2223 0.0000 0.7243
Te2 Te 0.2473 0.1755 0.2716
```

Calculated values
Fermi-level density of states, states/eV/f.u.: 9.19
Formation energy (no corrections), eV per atom: -0.79
Calculated volume, Å³/f.u.: 353.4



DFT (PBE) results for a geometry-optimized Na3Hf3UTe8 structure.

Geometry as CIF:
```
data_Na3Hf3UTe8
_cell_length_a 8.2293
_cell_length_b 8.2293
_cell_length_c 23.3129
_cell_angle_alpha 90.00
_cell_angle_beta 90.00
_cell_angle_gamma 120.00
_space_group_name_H-M_alt 'R -3 m'
_space_group_IT_number 166
_space_group_name_Hall '-R 3 2"'
loop_
_atom_site_label
_atom_site_type_symbol
_atom_site_fract_x
_atom_site_fract_y
_atom_site_fract_z
Na1 Na 0.0000 0.5000 0.0000
Hf1 Hf 0.0000 0.5000 0.5000
U1 U 0.0000 0.0000 0.5000
Te1 Te 0.0000 0.0000 0.2405
Te2 Te 0.0190 0.5095 0.7568
```

Calculated values
Fermi-level density of states, states/eV/f.u.: 7.03
Formation energy (no corrections), eV per atom: -0.81
Calculated volume, Å³/f.u.: 455.8



DFT (PBE) results for a geometry-optimized Na3HfV2Te6 structure.

Geometry as CIF:
```
data_Na3HfV2Te6
_cell_length_a 7.1049
_cell_length_b 12.2999
_cell_length_c 7.9220
_cell_angle_alpha 90.00
_cell_angle_beta 107.37
_cell_angle_gamma 90.00
_space_group_name_H-M_alt 'C 1 2/m 1'
_space_group_IT_number 12
_space_group_name_Hall '-C 2y'
loop_
_atom_site_label
_atom_site_type_symbol
_atom_site_fract_x
_atom_site_fract_y
_atom_site_fract_z
Na1 Na 0.0000 0.0000 0.0000
Na2 Na 0.0000 0.3376 0.0000
Hf1 Hf 0.0000 0.5000 0.5000
V1 V 0.0000 0.1680 0.5000
Te1 Te 0.2266 0.0000 0.7096
Te2 Te 0.2419 0.3289 0.7114
```

Calculated values
Fermi-level density of states, states/eV/f.u.: 9.80
Formation energy (no corrections), eV per atom: -0.66
Calculated volume, Å³/f.u.: 330.4